(1)
A geometry-optimized ReRh2Se structure, computed with PBE.

Computed properties:
ΔE_f (raw), eV per atom: 0.290
Symmetry: Immm (71)

The structure in CIF format:
```
data_ReRh2Se
_symmetry_space_group_name_H-M 'P 1'
_symmetry_Int_Tables_number 1
_cell_length_a 5.1357
_cell_length_b 5.1357
_cell_length_c 5.1357
_cell_angle_alpha 145.10
_cell_angle_beta 129.47
_cell_angle_gamma 62.88
loop_
_symmetry_equiv_pos_as_xyz
'x,y,z'
loop_
_atom_site_label
_atom_site_fract_x
_atom_site_fract_y
_atom_site_fract_z
Rh1 0.5195 0.5195 0.0000
Rh2 0.9805 0.9805 0.0000
Re1 0.2500 0.7500 0.5000
Se1 0.7500 0.2500 0.5000
```

=====

(2)
A geometry-optimized LaYHo2 structure, computed with PBE.

Computed properties:
Symmetry: R-3m (166)
E above lowest polymorph, eV/f.u.: 0.06

The structure in CIF format:
```
data_LaYHo2
_symmetry_space_group_name_H-M 'P 1'
_symmetry_Int_Tables_number 1
_cell_length_a 3.5964
_cell_length_b 3.5964
_cell_length_c 11.8586
_cell_angle_alpha 81.28
_cell_angle_beta 81.28
_cell_angle_gamma 60.00
loop_
_symmetry_equiv_pos_as_xyz
'x,y,z'
loop_
_atom_site_label
_atom_site_fract_x
_atom_site_fract_y
_atom_site_fract_z
La1 0.0000 0.0000 0.0000
Ho1 0.7516 0.7516 0.7453
Ho2 0.2484 0.2484 0.2547
Y1 0.5000 0.5000 0.5000
```

=====

(3)
A geometry-optimized Sr4NdPa3As8 structure, computed with PBE.

Computed properties:
Symmetry: R-3m (166)

The structure in CIF format:
```
data_Sr4NdPa3As8
_symmetry_space_group_name_H-M 'P 1'
_symmetry_Int_Tables_number 1
_cell_length_a 8.5580
_cell_length_b 8.6747
_cell_length_c 8.5581
_cell_angle_alpha 119.56
_cell_angle_beta 120.00
_cell_angle_gamma 90.00
loop_
_symmetry_equiv_pos_as_xyz
'x,y,z'
loop_
_atom_site_label
_atom_site_fract_x
_atom_site_fract_y
_atom_site_fract_z
Sr1 0.0000 0.0000 0.0000
Sr2 0.5000 0.0000 0.5000
Sr3 0.5000 0.0000 0.0000
Sr4 0.0000 0.0000 0.5000
As1 0.7540 0.2798 0.5081
As2 0.2717 0.2798 0.0257
As3 0.7391 0.7174 0.4783
As4 0.2609 0.2826 0.5217
As5 0.2460 0.7202 0.4919
As6 0.7540 0.2798 0.0257
As7 0.7283 0.7202 0.9743
As8 0.2460 0.7202 0.9743
Pa1 0.5000 0.5000 0.5000
Pa2 0.5000 0.5000 0.0000
Pa3 0.0000 0.5000 0.5000
Nd1 0.0000 0.5000 0.0000
```

=====

(4)
A geometry-optimized CsTe2 structure, computed with PBE.

Computed properties:
ΔE_f (raw), eV per atom: -0.531
Symmetry: C2/m (12)
E above lowest polymorph, eV/f.u.: 0.18

The structure in CIF format:
```
data_CsTe2
_symmetry_space_group_name_H-M 'P 1'
_symmetry_Int_Tables_number 1
_cell_length_a 6.6919
_cell_length_b 7.1754
_cell_length_c 7.7979
_cell_angle_alpha 100.64
_cell_angle_beta 90.00
_cell_angle_gamma 117.80
loop_
_symmetry_equiv_pos_as_xyz
'x,y,z'
loop_
_atom_site_label
_atom_site_fract_x
_atom_site_fract_y
_atom_site_fract_z
Te1 0.8753 0.7506 0.0073
Te2 0.6713 0.3426 0.8054
Te3 0.3287 0.6574 0.1946
Te4 0.1247 0.2494 0.9927
Cs1 0.3514 0.7028 0.7188
Cs2 0.6486 0.2972 0.2812
```

=====

(5)
A geometry-optimized LiCdAuBr2 structure, computed with PBE.

Computed properties:
ΔE_f (raw), eV per atom: -0.344
Symmetry: P4/mmm (123)

The structure in CIF format:
```
data_LiCdAuBr2
_symmetry_space_group_name_H-M 'P 1'
_symmetry_Int_Tables_number 1
_cell_length_a 5.5418
_cell_length_b 5.3832
_cell_length_c 5.5418
_cell_angle_alpha 90.00
_cell_angle_beta 90.00
_cell_angle_gamma 90.00
loop_
_symmetry_equiv_pos_as_xyz
'x,y,z'
loop_
_atom_site_label
_atom_site_fract_x
_atom_site_fract_y
_atom_site_fract_z
Br1 0.5000 0.0000 0.0000
Br2 0.0000 0.0000 0.5000
Cd1 0.0000 0.0000 0.0000
Li1 0.5000 0.5000 0.5000
Au1 0.0000 0.5000 0.0000
```

=====

(6)
A geometry-optimized UBiCl structure, computed with PBE.

Computed properties:
ΔE_f (raw), eV per atom: -0.377
Symmetry: R3m (160)

The structure in CIF format:
```
data_UBiCl
_symmetry_space_group_name_H-M 'P 1'
_symmetry_Int_Tables_number 1
_cell_length_a 4.4774
_cell_length_b 4.4774
_cell_length_c 6.0005
_cell_angle_alpha 68.09
_cell_angle_beta 68.09
_cell_angle_gamma 60.00
loop_
_symmetry_equiv_pos_as_xyz
'x,y,z'
loop_
_atom_site_label
_atom_site_fract_x
_atom_site_fract_y
_atom_site_fract_z
Cl1 0.1024 0.1024 0.6929
U1 0.3769 0.3769 0.8694
Bi1 0.5943 0.5943 0.2172
```

=====

(7)
A geometry-optimized Pr4TlSnO structure, computed with PBE.

Computed properties:
ΔE_f (raw), eV per atom: -1.125
Symmetry: Cmcm (63)

The structure in CIF format:
```
data_Pr4TlSnO
_symmetry_space_group_name_H-M 'P 1'
_symmetry_Int_Tables_number 1
_cell_length_a 6.8633
_cell_length_b 6.8569
_cell_length_c 9.2732
_cell_angle_alpha 90.00
_cell_angle_beta 111.72
_cell_angle_gamma 90.00
loop_
_symmetry_equiv_pos_as_xyz
'x,y,z'
loop_
_atom_site_label
_atom_site_fract_x
_atom_site_fract_y
_atom_site_fract_z
O1 0.2464 0.7500 0.4928
O2 0.7536 0.2500 0.5072
Pr1 0.0000 0.0000 0.5000
Pr2 0.5755 0.2500 0.1510
Pr3 0.5000 0.0000 0.5000
Pr4 0.0000 0.5000 0.5000
Pr5 0.4245 0.7500 0.8490
Pr6 0.5000 0.5000 0.5000
Pr7 0.9217 0.2500 0.8434
Pr8 0.0783 0.7500 0.1566
Tl1 0.3894 0.2500 0.7787
Tl2 0.6106 0.7500 0.2213
Sn1 0.1108 0.2500 0.2215
Sn2 0.8892 0.7500 0.7785
```

=====

(8)
A geometry-optimized Zn2CuSi structure, computed with PBE.

Computed properties:
ΔE_f (raw), eV per atom: 0.116
Symmetry: P2/m (10)

The structure in CIF format:
```
data_Zn2CuSi
_symmetry_space_group_name_H-M 'P 1'
_symmetry_Int_Tables_number 1
_cell_length_a 4.5532
_cell_length_b 2.8137
_cell_length_c 4.6220
_cell_angle_alpha 100.34
_cell_angle_beta 90.00
_cell_angle_gamma 90.00
loop_
_symmetry_equiv_pos_as_xyz
'x,y,z'
loop_
_atom_site_label
_atom_site_fract_x
_atom_site_fract_y
_atom_site_fract_z
Zn1 0.0000 0.5552 0.4849
Zn2 0.0000 0.9448 0.0151
Si1 0.5000 0.7500 0.7500
Cu1 0.5000 0.2500 0.2500
```

=====

(9)
A geometry-optimized Sc2CdHAu structure, computed with PBE.

Computed properties:
Symmetry: P4/mmm (123)
E above lowest polymorph, eV/f.u.: 0.00

The structure in CIF format:
```
data_Sc2CdHAu
_symmetry_space_group_name_H-M 'P 1'
_symmetry_Int_Tables_number 1
_cell_length_a 4.6261
_cell_length_b 4.6261
_cell_length_c 3.9590
_cell_angle_alpha 90.00
_cell_angle_beta 90.00
_cell_angle_gamma 90.00
loop_
_symmetry_equiv_pos_as_xyz
'x,y,z'
loop_
_atom_site_label
_atom_site_fract_x
_atom_site_fract_y
_atom_site_fract_z
Sc1 0.0000 0.5000 0.0000
Sc2 0.5000 0.0000 0.0000
Cd1 0.5000 0.5000 0.5000
H1 0.0000 0.0000 0.0000
Au1 0.0000 0.0000 0.5000
```

=====

(10)
A geometry-optimized K3FeNi structure, computed with PBE.

Computed properties:
Symmetry: Pm-3m (221)
E above lowest polymorph, eV/f.u.: 0.00

The structure in CIF format:
```
data_K3FeNi
_symmetry_space_group_name_H-M 'P 1'
_symmetry_Int_Tables_number 1
_cell_length_a 6.0537
_cell_length_b 6.0537
_cell_length_c 6.0537
_cell_angle_alpha 90.00
_cell_angle_beta 90.00
_cell_angle_gamma 90.00
loop_
_symmetry_equiv_pos_as_xyz
'x,y,z'
loop_
_atom_site_label
_atom_site_fract_x
_atom_site_fract_y
_atom_site_fract_z
Ni1 0.0000 0.0000 0.0000
Fe1 0.5000 0.5000 0.5000
K1 0.0000 0.5000 0.0000
K2 0.0000 0.0000 0.5000
K3 0.5000 0.0000 0.0000
```

=====

(11)
A geometry-optimized CdPbCl structure, computed with PBE.

Computed properties:
ΔE_f (raw), eV per atom: -0.401
Symmetry: Amm2 (38)
E above lowest polymorph, eV/f.u.: 0.00

The structure in CIF format:
```
data_CdPbCl
_symmetry_space_group_name_H-M 'P 1'
_symmetry_Int_Tables_number 1
_cell_length_a 3.6476
_cell_length_b 3.6436
_cell_length_c 15.4617
_cell_angle_alpha 90.00
_cell_angle_beta 90.00
_cell_angle_gamma 120.04
loop_
_symmetry_equiv_pos_as_xyz
'x,y,z'
loop_
_atom_site_label
_atom_site_fract_x
_atom_site_fract_y
_atom_site_fract_z
Cd1 0.5565 0.1130 0.0000
Cd2 0.3321 0.6641 0.5000
Pb1 0.6660 0.3319 0.6539
Pb2 0.6660 0.3319 0.3461
Cl1 0.2231 0.4462 0.8921
Cl2 0.2231 0.4462 0.1079
```

=====

(12)
A geometry-optimized Mg4CdIr structure, computed with PBE.

Computed properties:
Symmetry: F-43m (216)
E above lowest polymorph, eV/f.u.: 2.28

The structure in CIF format:
```
data_Mg4CdIr
_symmetry_space_group_name_H-M 'P 1'
_symmetry_Int_Tables_number 1
_cell_length_a 5.4398
_cell_length_b 5.4398
_cell_length_c 5.4398
_cell_angle_alpha 60.00
_cell_angle_beta 60.00
_cell_angle_gamma 60.00
loop_
_symmetry_equiv_pos_as_xyz
'x,y,z'
loop_
_atom_site_label
_atom_site_fract_x
_atom_site_fract_y
_atom_site_fract_z
Mg1 0.8772 0.3743 0.3743
Mg2 0.3743 0.8772 0.3743
Mg3 0.3743 0.3743 0.8772
Mg4 0.3743 0.3743 0.3743
Ir1 0.0000 0.0000 0.0000
Cd1 0.7500 0.7500 0.7500
```

=====

| no. | uncorrected energy (eV per atom) | magnetic moment (μB/f.u.) | density of states at the Fermi level (states/eV per atom) |
| --- | --- | --- | --- |
| 1 | -7.3692 | 0.0 | 1.046 |
| 2 | -5.1126 | 0.0 | 1.450 |
| 3 | -6.0286 | 1.5 | 0.782 |
| 4 | -2.9096 | 0.0 | 0.261 |
| 5 | -2.2340 | 0.0 | 0.038 |
| 6 | -6.0490 | 2.1 | 2.557 |
| 7 | -5.4741 | 0.1 | 0.929 |
| 8 | -2.9010 | 0.0 | 0.173 |
| 9 | -4.4453 | 0.5 | 0.805 |
| 10 | -2.3741 | 3.0 | 1.362 |
| 11 | -2.5572 | 0.0 | 0.057 |
| 12 | -2.4961 | 0.0 | 0.461 |